The following is a DFT calculation (PBE) of crystalline TbThTlOs at its relaxed geometry.

Output
- ΔE_f: -0.196 eV per atom

```
data_TbThTlOs
_symmetry_space_group_name_H-M 'R 3 m'
_symmetry_Int_Tables_number 160
_symmetry_space_group_name_Hall 'R 3 -2"'
_cell_length_a 4.1293
_cell_length_b 4.1293
_cell_length_c 23.7060
_cell_angle_alpha 90.00
_cell_angle_beta 90.00
_cell_angle_gamma 120.00
loop_
_atom_site_label
_atom_site_type_symbol
_atom_site_fract_x
_atom_site_fract_y
_atom_site_fract_z
Tb1 Tb 0.0000 0.0000 0.0000
Th1 Th 0.0000 0.0000 0.7911
Tl1 Tl 0.0000 0.0000 0.2332
Os1 Os 0.0000 0.0000 0.3976
```


The following is a DFT calculation (PBE) of crystalline LaGaAg at its relaxed geometry.

Output
- ΔE_f: -0.473 eV per atom

```
data_LaGaAg
_symmetry_space_group_name_H-M 'P m m a'
_symmetry_Int_Tables_number 51
_cell_length_a 4.553
_cell_length_b 3.831
_cell_length_c 8.386
_cell_angle_alpha 90.00
_cell_angle_beta 90.00
_cell_angle_gamma 90.00
loop_
_symmetry_equiv_pos_as_xyz
'x,y,z'
'-x,-y,-z'
'-x+1/2,-y,z'
'x+1/2,y,-z'
'x+1/2,-y,-z'
'-x+1/2,y,z'
'-x,y,-z'
'x,-y,z'
loop_
_atom_site_label
_atom_site_type_symbol
_atom_site_fract_x
_atom_site_fract_y
_atom_site_fract_z
La1 La 0.250 0.000 0.239
Ga1 Ga 0.250 0.500 0.921
Ag1 Ag 0.250 0.500 0.595
```


What is the ΔE_f in the second record?
-0.473 eV per atom


What is the ΔE_f in the second record?
-0.473 eV per atom


ΔE_f of number 1 (TbThTlOs)?
-0.196 eV per atom